(1)
VASP calculation (GGA-PBE) on a relaxed Ti2Mn4Al3 crystal.

The structure in extended XYZ format:
```
9
Lattice="4.2162 0.0004 0.0007 2.1077 3.6488 0.1351 -0.0013 -0.2848 7.6947" Properties=species:S:1:pos:R:3 pbc="T T T"
Ti 2.1069 0.9938 6.0618
Ti 4.2156 2.3706 1.7688
Mn 4.2147 2.1778 6.9835
Mn 4.2157 -0.0998 2.7141
Mn 2.1068 3.4643 5.1165
Mn 2.1078 1.1867 0.8471
Al 2.1074 1.0947 3.3382
Al 0.0000 0.0000 0.0000
Al 4.2151 2.2697 4.4924
```

Values from the calculation:
* ΔE_f: -312 meV per atom
* theoretical density: 5.6 g cm⁻³
* space group: P-3m1, No. 164
* DOS(E_F): 4.322 states/eV per cell

(2)
VASP calculation (GGA-PBE) on a relaxed TiMn2Al crystal.

The structure in extended XYZ format:
```
4
Lattice="-2.2864 -0.7935 1.9705 -2.1118 -1.6667 -3.1215 1.8460 -3.6201 0.6841" Properties=species:S:1:pos:R:3 pbc="T T T"
Mn 0.9230 -1.8101 0.3421
Mn -1.0559 -0.8334 -1.5607
Al -1.2761 -3.0402 -0.2334
Ti -1.1432 -0.3967 0.9852
```

Values from the calculation:
* ΔE_f: -306 meV per atom
* theoretical density: 5.8 g cm⁻³
* space group: P4/mmm, No. 123
* DOS(E_F): 2.464 states/eV per cell

(3)
VASP calculation (GGA-PBE) on a relaxed TiMnAl4 crystal.

The structure in extended XYZ format:
```
12
Lattice="4.5506 0.0000 -2.2320 0.0000 7.0538 0.0000 -2.3024 0.0000 6.8407" Properties=species:S:1:pos:R:3 pbc="T T T"
Ti 1.1241 0.0000 2.3044
Ti -1.1512 3.5269 3.4203
Mn 0.0000 0.0000 0.0000
Mn 2.2753 3.5269 -1.1160
Al 3.8865 5.2893 -0.7061
Al 0.6370 1.7624 4.1988
Al 0.5683 2.5664 1.1693
Al -0.5953 6.0933 4.5554
Al -1.6383 1.7645 5.3148
Al 1.6112 5.2914 0.4099
Al 1.6800 4.4873 3.4394
Al 2.8436 0.9604 0.0533
```

Values from the calculation:
* polymorph energy (0 for the lowest one): 0.000 eV per atom
* ΔE_f: -179 meV per atom
* theoretical density: 3.8 g cm⁻³
* space group: P2_1/c, No. 14
* DOS(E_F): 5.843 states/eV per cell

(4)
VASP calculation (GGA-PBE) on a relaxed TiMnAl6 crystal.

The structure in extended XYZ format:
```
8
Lattice="-0.1624 -0.2625 3.9016 -5.4474 -1.2836 -0.3131 1.3010 -5.4433 -0.3121" Properties=species:S:1:pos:R:3 pbc="T T T"
Ti -0.0812 -0.1312 1.9508
Mn -2.1544 -3.4947 1.6382
Al -3.7463 -2.3322 -0.3128
Al -0.4001 -4.3947 -0.3123
Al -3.1008 -5.0306 -0.4675
Al -1.0456 -1.6963 -0.1576
Al -2.8049 -0.7730 1.7942
Al 0.5693 -2.8529 1.7947
```

Values from the calculation:
* polymorph energy (0 for the lowest one): 0.000 eV per atom
* ΔE_f: -218 meV per atom
* theoretical density: 3.6 g cm⁻³
* space group: P4/mmm, No. 123
* DOS(E_F): 4.036 states/eV per cell

Calculated total DFT energy (no corrections) (eV for the cell shown), listed in the same order as above: -66.50 -31.20 -66.22 -41.27